(1)
Density functional theory data (PBE) for a geometry-optimized NbBi2C structure.

Lattice parameters (Å, degrees): 6.633 6.633 8.759 90.00 90.00 90.00
Space group I-42d (No. 122)
Symmetry-distinct sites (fractional):
Nb1 0.000 0.000 0.000 (multiplicity 4)
Bi1 0.181 0.750 0.625 (multiplicity 8)
C1 0.000 0.000 0.500 (multiplicity 4)

energy relative to the elements = 1.40 eV per atom
total magnetization = 7.41 μB/cell
Fermi-level density of states = 0.86 states/eV/atom
mass density = 9.0 Mg/m³

***

(2)
Density functional theory data (PBE) for a geometry-optimized NbNiBi2C structure.

Lattice parameters (Å, degrees): 4.971 4.971 4.731 90.00 90.00 90.00
Space group P4/mmm (No. 123)
Symmetry-distinct sites (fractional):
Nb1 0.000 0.000 0.000 (multiplicity 1)
Ni1 0.000 0.000 0.500 (multiplicity 1)
Bi1 0.000 0.500 0.500 (multiplicity 2)
C1 0.500 0.500 0.000 (multiplicity 1)

energy relative to the elements = 1.84 eV per atom
total magnetization = 1.24 μB/cell
Fermi-level density of states = 1.08 states/eV/atom
mass density = 8.3 Mg/m³

***

(3)
Density functional theory data (PBE) for a geometry-optimized Nb2BiPbC structure.

Lattice parameters (Å, degrees): 5.269 5.269 5.720 90.00 90.00 90.00
Space group P4/mmm (No. 123)
Symmetry-distinct sites (fractional):
Nb1 0.000 0.500 0.000 (multiplicity 2)
Bi1 0.000 0.000 0.500 (multiplicity 1)
Pb1 0.000 0.000 0.000 (multiplicity 1)
C1 0.500 0.500 0.500 (multiplicity 1)

energy relative to the elements = 3.13 eV per atom
total magnetization = 1.59 μB/cell
Fermi-level density of states = 2.00 states/eV/atom
mass density = 6.4 Mg/m³

***

- Which value of total magnetization does entry 1 give?
  7.41 μB/cell

***

- Among the records above, which one has the highest mass density?
  NbBi2C